# 1
{
  "formula": "Tl8Bi2Te",
  "functional": "PBE-GGA",
  "state": "relaxed",
  "m_tot_mub_per_fu": 0.00,
  "total_energy_ev_per_cell": -30.5,
  "formation_energy_uncorrected_ev_per_atom": -0.0588,
  "lattice": [[-5.561, -0.827, 1.078], [-1.114, 1.880, -7.866], [4.104, -8.323, 1.430]],
  "species": ["Tl", "Tl", "Tl", "Tl", "Tl", "Tl", "Tl", "Tl", "Bi", "Bi", "Te"],
  "frac_coords": [[0.928, 0.467, 0.513], [0.665, 0.219, 0.910], [0.274, 0.345, 0.222], [0.185, 0.505, 0.910], [0.519, 0.752, 0.663], [0.961, 0.033, 0.597], [0.325, 0.863, 0.306], [0.764, 0.994, 0.152], [0.449, 0.300, 0.585], [0.775, 0.624, 0.234], [0.155, 0.898, 0.908]]
}

***

# 2
{
  "formula": "Tl5BiTe4",
  "functional": "PBE-GGA",
  "state": "relaxed",
  "m_tot_mub_per_fu": 0.00,
  "polymorph_energy_ev_per_atom": 0.003,
  "total_energy_ev_per_cell": -31.0,
  "formation_energy_uncorrected_ev_per_atom": -0.2713,
  "lattice": [[4.704, 0.000, 0.000], [0.000, 8.809, -1.058], [-2.352, -3.484, 9.519]],
  "species": ["Te", "Te", "Te", "Te", "Tl", "Tl", "Tl", "Tl", "Tl", "Bi"],
  "frac_coords": [[0.960, 0.728, 0.921], [0.663, 0.046, 0.327], [0.337, 0.954, 0.673], [0.040, 0.272, 0.079], [0.148, 0.783, 0.295], [0.793, 0.672, 0.585], [0.852, 0.217, 0.705], [0.207, 0.328, 0.415], [0.500, 0.500, 0.000], [0.500, 0.000, 0.000]]
}

***

# 3
{
  "formula": "Tm2Tl3BiTe6",
  "functional": "PBE-GGA",
  "state": "relaxed",
  "m_tot_mub_per_fu": 0.00,
  "total_energy_ev_per_cell": -48.2,
  "formation_energy_uncorrected_ev_per_atom": -0.7847,
  "lattice": [[7.747, -0.003, 0.000], [-3.874, 6.709, 0.000], [-1.292, -2.237, 8.126]],
  "species": ["Tl", "Tl", "Tl", "Tm", "Tm", "Te", "Te", "Te", "Te", "Te", "Te", "Bi"],
  "frac_coords": [[0.835, 0.165, 0.500], [0.500, 0.500, 0.500], [0.165, 0.835, 0.500], [0.333, 0.667, 0.000], [0.667, 0.333, 0.000], [0.413, 0.071, 0.213], [0.729, 0.729, 0.213], [0.071, 0.413, 0.213], [0.587, 0.929, 0.787], [0.271, 0.271, 0.787], [0.929, 0.587, 0.787], [0.000, 0.000, 0.000]]
}

***

# 4
{
  "formula": "UTl3Bi2Te6",
  "functional": "PBE-GGA",
  "state": "relaxed",
  "m_tot_mub_per_fu": 2.93,
  "total_energy_ev_per_cell": -49.4,
  "formation_energy_uncorrected_ev_per_atom": -0.3662,
  "lattice": [[-4.388, 0.526, -6.518], [2.159, -7.060, 2.739], [-5.998, 1.877, 5.780]],
  "species": ["Tl", "Tl", "Tl", "Te", "Te", "Te", "Te", "Te", "Te", "Bi", "Bi", "U"],
  "frac_coords": [[0.833, 0.167, 0.500], [0.167, 0.833, 0.500], [0.500, 0.500, 0.500], [0.743, 0.743, 0.219], [0.926, 0.597, 0.780], [0.257, 0.257, 0.781], [0.074, 0.403, 0.220], [0.597, 0.926, 0.780], [0.403, 0.074, 0.220], [0.334, 0.666, 0.000], [0.666, 0.334, 0.000], [0.000, 0.000, 0.000]]
}

***

# 5
{
  "formula": "U2Tl3BiTe6",
  "functional": "PBE-GGA",
  "state": "relaxed",
  "m_tot_mub_per_fu": 5.93,
  "total_energy_ev_per_cell": -57.5,
  "formation_energy_uncorrected_ev_per_atom": -0.4265,
  "lattice": [[-5.658, -5.326, 0.257], [7.397, -2.119, 1.111], [-1.427, 3.778, 7.633]],
  "species": ["U", "U", "Tl", "Tl", "Tl", "Te", "Te", "Te", "Te", "Te", "Te", "Bi"],
  "frac_coords": [[0.333, 0.667, 0.000], [0.667, 0.333, 0.000], [0.500, 0.500, 0.500], [0.165, 0.835, 0.500], [0.835, 0.165, 0.500], [0.413, 0.073, 0.218], [0.268, 0.268, 0.782], [0.587, 0.927, 0.782], [0.732, 0.732, 0.218], [0.927, 0.587, 0.782], [0.073, 0.413, 0.218], [0.000, 0.000, 0.000]]
}

***

# 6
{
  "formula": "UTl4Bi3Te8",
  "functional": "PBE-GGA",
  "state": "relaxed",
  "m_tot_mub_per_fu": 2.84,
  "total_energy_ev_per_cell": -63.2,
  "formation_energy_uncorrected_ev_per_atom": -0.3544,
  "lattice": [[-0.927, 6.871, 5.955], [-9.518, -1.368, 0.096], [5.426, -7.078, 1.999]],
  "species": ["Te", "Te", "Te", "Te", "Te", "Te", "Te", "Te", "Bi", "Bi", "Bi", "Tl", "Tl", "Tl", "Tl", "U"],
  "frac_coords": [[0.740, 0.721, 0.481], [0.238, 0.720, 0.982], [0.260, 0.279, 0.519], [0.745, 0.720, 0.982], [0.762, 0.280, 0.525], [0.238, 0.720, 0.475], [0.762, 0.280, 0.018], [0.255, 0.280, 0.018], [0.500, 0.500, 0.000], [0.000, 0.500, 0.500], [0.500, 0.500, 0.500], [0.500, 0.000, 0.500], [0.500, 0.000, 0.000], [0.000, 0.000, 0.500], [0.000, 0.000, 0.000], [0.000, 0.500, 0.000]]
}

***

Copy entry 3 word for word.
{
  "formula": "Tm2Tl3BiTe6",
  "functional": "PBE-GGA",
  "state": "relaxed",
  "m_tot_mub_per_fu": 0.00,
  "total_energy_ev_per_cell": -48.2,
  "formation_energy_uncorrected_ev_per_atom": -0.7847,
  "lattice": [[7.747, -0.003, 0.000], [-3.874, 6.709, 0.000], [-1.292, -2.237, 8.126]],
  "species": ["Tl", "Tl", "Tl", "Tm", "Tm", "Te", "Te", "Te", "Te", "Te", "Te", "Bi"],
  "frac_coords": [[0.835, 0.165, 0.500], [0.500, 0.500, 0.500], [0.165, 0.835, 0.500], [0.333, 0.667, 0.000], [0.667, 0.333, 0.000], [0.413, 0.071, 0.213], [0.729, 0.729, 0.213], [0.071, 0.413, 0.213], [0.587, 0.929, 0.787], [0.271, 0.271, 0.787], [0.929, 0.587, 0.787], [0.000, 0.000, 0.000]]
}